# 1
Density functional theory data (PBE-GGA) for AcLaNd2Tl4 after structural relaxation.

a = 5.643 Å, b = 5.643 Å, c = 9.769 Å
α = 73.21°, β = 73.21°, γ = 60.00°
Fractional positions:
1 La 0.500 0.500 0.500
2 Nd 0.750 0.750 0.749
3 Tl 0.873 0.873 0.380
4 Tl 0.377 0.377 0.870
5 Nd 0.250 0.250 0.251
6 Tl 0.127 0.127 0.620
7 Tl 0.623 0.623 0.130
8 Ac 0.000 0.000 0.000

Output
Its space group is R-3m. The calculation puts the density at 9623 kg/m³. The total DFT energy (no corrections) is -3.8806 eV per atom. For the density of states at the Fermi level, the calculation gives 8.1 states/eV per cell. The calculation puts the total magnetization at 0.000 μB/f.u. For the calculated formation energy, the calculation gives -290 kJ/mol of formula units.

***

# 2
Density functional theory data (PBE-GGA) for Y4TlRu after structural relaxation.

a = 6.223 Å, b = 7.806 Å, c = 7.806 Å
α = 111.74°, β = 99.36°, γ = 99.36°
Fractional positions:
1 Y 0.954 0.061 0.725
2 Y 0.397 0.798 0.641
3 Tl 0.750 0.625 0.375
4 Y 0.454 0.725 0.061
5 Y 0.897 0.641 0.798
6 Y 0.103 0.359 0.202
7 Ru 0.250 0.000 0.000
8 Y 0.546 0.275 0.939
9 Ru 0.750 0.000 0.000
10 Y 0.046 0.939 0.275
11 Y 0.603 0.202 0.359
12 Tl 0.250 0.375 0.625

Output
Its space group is C2/c. The calculation puts the density at 6512 kg/m³. The total DFT energy (no corrections) is -6.5843 eV per atom. For the density of states at the Fermi level, the calculation gives 12.3 states/eV per cell. The calculation puts the total magnetization at 0.000 μB/f.u. For the calculated formation energy, the calculation gives -194 kJ/mol of formula units.